The following is a DFT calculation (PBE-GGA) of a relaxed structure of La3Tb2NdDy6.

Properties
Final energy, eV per cell: -56.22
DFT formation energy, eV/atom: 0.0173
Fermi-level density of states, states/eV/atom: 1.312
Size of the total moment, μB/cell: 0.00

a b c (Å): 6.2626 6.2626 11.8880
angles (deg): 95.03 95.03 120.02
Fractional coordinates of all 12 atoms:
La (0.0000, 0.0000, 0.0000)
La (0.3331, 0.6669, 0.0000)
La (0.6669, 0.3331, 0.0000)
Tb (0.1667, 0.8333, 0.5000)
Tb (0.8333, 0.1667, 0.5000)
Nd (0.5000, 0.5000, 0.5000)
Dy (0.0842, 0.4181, 0.2539)
Dy (0.2480, 0.2480, 0.7462)
Dy (0.4181, 0.0842, 0.2539)
Dy (0.5819, 0.9158, 0.7461)
Dy (0.7520, 0.7520, 0.2538)
Dy (0.9158, 0.5819, 0.7461)

---

The following is a DFT calculation (PBE-GGA) of a relaxed structure of NaGaTe2.

Properties
Uncorrected formation energy, eV/atom: -0.586
Final energy, eV per cell: -25.95
Fermi-level density of states, states/eV/atom: 0.000
Size of the total moment, μB/cell: 0.00

a b c (Å): 6.7484 6.7484 6.8866
angles (deg): 115.92 115.92 88.54
Fractional coordinates of all 8 atoms:
Na (0.0758, 0.9242, 0.5000)
Na (0.9242, 0.0758, 0.0000)
Ga (0.4951, 0.5057, 0.9998)
Ga (0.5057, 0.4951, 0.4998)
Te (0.1563, 0.4553, 0.5757)
Te (0.4553, 0.1563, 0.0757)
Te (0.5454, 0.8448, 0.4239)
Te (0.8448, 0.5454, 0.9239)

---

The following is a DFT calculation (PBE-GGA) of a relaxed structure of HoAgHg4.

Properties
Final energy, eV per cell: -9.56
DFT formation energy, eV/atom: -0.1543
Fermi-level density of states, states/eV/atom: 0.493
Size of the total moment, μB/cell: 0.00

a b c (Å): 4.9854 4.9854 6.3790
angles (deg): 94.29 94.29 118.07
Fractional coordinates of all 6 atoms:
Ho (0.0000, 0.0000, 0.0000)
Ag (0.0000, 0.0000, 0.5000)
Hg (0.2905, 0.6307, 0.7466)
Hg (0.3693, 0.7095, 0.2534)
Hg (0.6307, 0.2905, 0.7466)
Hg (0.7095, 0.3693, 0.2534)

---

The following is a DFT calculation (PBE-GGA) of a relaxed structure of CaSc2Co.

Properties
Final energy, eV per cell: -21.77
DFT formation energy, eV/atom: -0.0002
Fermi-level density of states, states/eV/atom: 0.720
ΔE to the lowest computed polymorph, meV/atom: 86
Size of the total moment, μB/cell: 0.00

a b c (Å): 3.4723 7.7451 7.7451
angles (deg): 28.14 90.00 90.00
Fractional coordinates of all 4 atoms:
Ca (0.0000, 0.0000, 0.0000)
Sc (0.0000, 0.3070, 0.3070)
Sc (0.5000, 0.6748, 0.6748)
Co (0.5000, 0.8341, 0.8341)

---

The following is a DFT calculation (PBE-GGA) of a relaxed structure of As2IrRuO.

Properties
Uncorrected formation energy, eV/atom: 0.589
Final energy, eV per cell: -29.45
Fermi-level density of states, states/eV/atom: 0.696
Size of the total moment, μB/cell: 0.00

a b c (Å): 4.3448 4.3448 3.9639
angles (deg): 90.00 90.00 90.00
Fractional coordinates of all 5 atoms:
As (0.0000, 0.5000, 0.0000)
As (0.5000, 0.0000, 0.0000)
Ir (0.0000, 0.0000, 0.5000)
Ru (0.5000, 0.5000, 0.5000)
O (0.0000, 0.0000, 0.0000)

---

The following is a DFT calculation (PBE-GGA) of a relaxed structure of NaHf3H.

Properties
Final energy, eV per cell: -22.91
Fermi-level density of states, states/eV/atom: 2.522
ΔE to the lowest computed polymorph, meV/atom: 1995
Size of the total moment, μB/cell: 0.00

a b c (Å): 5.0024 5.0024 5.0024
angles (deg): 90.00 90.00 90.00
Fractional coordinates of all 5 atoms:
Na (0.0000, 0.0000, 0.0000)
Hf (0.0000, 0.0000, 0.5000)
Hf (0.0000, 0.5000, 0.0000)
Hf (0.5000, 0.0000, 0.0000)
H (0.5000, 0.5000, 0.5000)

---

The following is a DFT calculation (PBE-GGA) of a relaxed structure of Na4Mn3CrSe8.

Properties
Uncorrected formation energy, eV/atom: -0.734
Final energy, eV per cell: -82.03
Fermi-level density of states, states/eV/atom: 0.424
Size of the total moment, μB/cell: 15.00

a b c (Å): 8.1886 8.1886 8.1886
angles (deg): 55.21 55.21 55.21
Fractional coordinates of all 16 atoms:
Na (0.0000, 0.0000, 0.0000)
Na (0.0000, 0.5000, 0.5000)
Na (0.5000, 0.0000, 0.5000)
Na (0.5000, 0.5000, 0.0000)
Mn (0.0000, 0.0000, 0.5000)
Mn (0.0000, 0.5000, 0.0000)
Mn (0.5000, 0.0000, 0.0000)
Cr (0.5000, 0.5000, 0.5000)
Se (0.2340, 0.2340, 0.2340)
Se (0.2397, 0.7312, 0.7312)
Se (0.2688, 0.2688, 0.7603)
Se (0.2688, 0.7603, 0.2688)
Se (0.7312, 0.2397, 0.7312)
Se (0.7312, 0.7312, 0.2397)
Se (0.7603, 0.2688, 0.2688)
Se (0.7660, 0.7660, 0.7660)

---

The following is a DFT calculation (PBE-GGA) of a relaxed structure of CeSi2.

Properties
Uncorrected formation energy, eV/atom: -0.379
Final energy, eV per cell: -17.92
Fermi-level density of states, states/eV/atom: 1.264
Size of the total moment, μB/cell: 0.27

a b c (Å): 4.1376 4.1376 4.0934
angles (deg): 104.74 104.74 91.58
Fractional coordinates of all 3 atoms:
Ce (0.0000, 0.0000, 0.0000)
Si (0.3977, 0.3977, 0.7024)
Si (0.6023, 0.6023, 0.2976)